A geometry-optimized Co2TcH2 structure. Source: Alexandria via LeMat-Bulk, functional PBE-GGA.

Output
Energy above the most stable polymorph in this dataset = 0.117 eV per atom
V = 8.561 Å³/atom
M_tot = 1.295 μB per cell

abc: 5.670 5.670 2.663
angles: 90.00 90.00 90.00
Fractional positions:
Co1 0.858 0.358 0.500
Co2 0.358 0.142 0.500
Co3 0.642 0.858 0.500
H1 0.276 0.776 0.000
H2 0.224 0.276 0.000
H3 0.776 0.724 0.000
Tc1 0.000 0.000 0.000
Co4 0.142 0.642 0.500
H4 0.724 0.224 0.000
Tc2 0.500 0.500 0.000